1.
{"formula": "TcBiW", "functional": "PBE", "state": "relaxed", "lattice_angstrom": [[0.0000, 3.1401, 3.1401], [3.1401, 0.0000, 3.1401], [3.1401, 3.1401, 0.0000]], "species": ["Tc", "Bi", "W"], "frac_coords": [[0.0000, 0.0000, 0.0000], [0.7500, 0.7500, 0.7500], [0.2500, 0.2500, 0.2500]], "total_magnetization_mub_per_atom": 0.000, "density_g_cm3": 13.16, "sg": "F-43m (216)", "dft_energy_ev_per_atom": -8.52, "crystal_system": "cubic", "e_above_lowest_polymorph_mev_per_atom": 0.0}

2.
{"formula": "YTc2Bi", "functional": "PBE", "state": "relaxed", "lattice_angstrom": [[0.0000, 3.4257, 3.4257], [3.4257, 0.0000, 3.4257], [3.4257, 3.4257, 0.0000]], "species": ["Y", "Tc", "Tc", "Bi"], "frac_coords": [[0.0000, 0.0000, 0.0000], [0.2500, 0.2500, 0.2500], [0.5000, 0.5000, 0.5000], [0.7500, 0.7500, 0.7500]], "total_magnetization_mub_per_atom": 0.540, "density_g_cm3": 10.20, "sg": "F-43m (216)", "dft_energy_ev_per_atom": -7.36, "crystal_system": "cubic"}

3.
{"formula": "Y2TcBi", "functional": "PBE", "state": "relaxed", "lattice_angstrom": [[0.0000, 3.5659, 3.5659], [3.5659, 0.0000, 3.5659], [3.5659, 3.5659, 0.0000]], "species": ["Y", "Y", "Tc", "Bi"], "frac_coords": [[0.0000, 0.0000, 0.0000], [0.2500, 0.2500, 0.2500], [0.7500, 0.7500, 0.7500], [0.5000, 0.5000, 0.5000]], "total_magnetization_mub_per_atom": 0.000, "density_g_cm3": 8.88, "sg": "F-43m (216)", "dft_energy_ev_per_atom": -6.83, "crystal_system": "cubic"}

4.
{"formula": "YTcBi2", "functional": "PBE", "state": "relaxed", "lattice_angstrom": [[0.0000, 3.6325, 3.6325], [3.6325, 0.0000, 3.6325], [3.6325, 3.6325, 0.0000]], "species": ["Y", "Tc", "Bi", "Bi"], "frac_coords": [[0.0000, 0.0000, 0.0000], [0.7500, 0.7500, 0.7500], [0.2500, 0.2500, 0.2500], [0.5000, 0.5000, 0.5000]], "total_magnetization_mub_per_atom": 0.003, "density_g_cm3": 10.48, "sg": "F-43m (216)", "dft_energy_ev_per_atom": -5.97, "crystal_system": "cubic"}

5.
{"formula": "ZnTc2Bi", "functional": "PBE", "state": "relaxed", "lattice_angstrom": [[0.0000, 3.2678, 3.2678], [3.2678, 0.0000, 3.2678], [3.2678, 3.2678, 0.0000]], "species": ["Zn", "Tc", "Tc", "Bi"], "frac_coords": [[0.0000, 0.0000, 0.0000], [0.2500, 0.2500, 0.2500], [0.5000, 0.5000, 0.5000], [0.7500, 0.7500, 0.7500]], "total_magnetization_mub_per_atom": 0.003, "density_g_cm3": 11.19, "sg": "F-43m (216)", "dft_energy_ev_per_atom": -5.92, "crystal_system": "cubic"}

6.
{"formula": "ZnTcBi", "functional": "PBE", "state": "relaxed", "lattice_angstrom": [[0.0000, 3.1737, 3.1737], [3.1737, 0.0000, 3.1737], [3.1737, 3.1737, 0.0000]], "species": ["Zn", "Tc", "Bi"], "frac_coords": [[0.0000, 0.0000, 0.0000], [0.7500, 0.7500, 0.7500], [0.5000, 0.5000, 0.5000]], "total_magnetization_mub_per_atom": 0.004, "density_g_cm3": 9.67, "sg": "F-43m (216)", "dft_energy_ev_per_atom": -4.70, "crystal_system": "cubic"}

7.
{"formula": "Zr6TcBi2", "functional": "PBE", "state": "relaxed", "lattice_angstrom": [[8.0178, 0.0000, 0.0000], [-4.0089, 6.9436, 0.0000], [0.0000, 0.0000, 3.6840]], "species": ["Zr", "Zr", "Zr", "Zr", "Zr", "Zr", "Tc", "Bi", "Bi"], "frac_coords": [[0.0000, 0.3933, 0.0000], [0.0000, 0.7554, 0.5000], [0.2446, 0.2446, 0.5000], [0.3933, 0.0000, 0.0000], [0.6067, 0.6067, 0.0000], [0.7554, 0.0000, 0.5000], [0.0000, 0.0000, 0.0000], [0.3333, 0.6667, 0.5000], [0.6667, 0.3333, 0.5000]], "total_magnetization_mub_per_atom": 0.054, "density_g_cm3": 8.61, "sg": "P-62m (189)", "dft_energy_ev_per_atom": -8.07, "crystal_system": "hexagonal"}

8.
{"formula": "ZrTcBi", "functional": "PBE", "state": "relaxed", "lattice_angstrom": [[0.0000, 3.2603, 3.2603], [3.2603, 0.0000, 3.2603], [3.2603, 3.2603, 0.0000]], "species": ["Zr", "Tc", "Bi"], "frac_coords": [[0.0000, 0.0000, 0.0000], [0.7500, 0.7500, 0.7500], [0.5000, 0.5000, 0.5000]], "total_magnetization_mub_per_atom": 0.012, "density_g_cm3": 9.54, "sg": "F-43m (216)", "dft_energy_ev_per_atom": -7.55, "crystal_system": "cubic"}

9.
{"formula": "Tm5Bi4Te", "functional": "PBE", "state": "relaxed", "lattice_angstrom": [[-4.9164, 4.9164, 3.1093], [4.9164, -4.9164, 3.1093], [4.9164, 4.9164, -3.1093]], "species": ["Tm", "Tm", "Tm", "Tm", "Tm", "Bi", "Bi", "Bi", "Bi", "Te"], "frac_coords": [[0.0000, 0.0000, 0.0000], [0.1983, 0.6006, 0.7989], [0.3994, 0.1983, 0.5977], [0.6006, 0.8017, 0.4023], [0.8017, 0.3994, 0.2011], [0.1004, 0.2990, 0.3994], [0.2990, 0.8996, 0.1986], [0.7010, 0.1004, 0.8014], [0.8996, 0.7010, 0.6006], [0.5000, 0.5000, 0.0000]], "total_magnetization_mub_per_atom": 0.000, "density_g_cm3": 9.99, "sg": "I4/m (87)", "dft_energy_ev_per_atom": -5.07, "crystal_system": "tetragonal"}

10.
{"formula": "TmBiTe", "functional": "PBE", "state": "relaxed", "lattice_angstrom": [[0.0000, 3.6903, 3.6903], [3.6903, 0.0000, 3.6903], [3.6903, 3.6903, 0.0000]], "species": ["Tm", "Bi", "Te"], "frac_coords": [[0.0000, 0.0000, 0.0000], [0.7500, 0.7500, 0.7500], [0.2500, 0.2500, 0.2500]], "total_magnetization_mub_per_atom": 0.005, "density_g_cm3": 8.35, "sg": "F-43m (216)", "dft_energy_ev_per_atom": -4.36, "crystal_system": "cubic"}

11.
{"formula": "TmBiTe", "functional": "PBE", "state": "relaxed", "lattice_angstrom": [[0.0000, 3.6710, 3.6710], [3.6710, 0.0000, 3.6710], [3.6710, 3.6710, 0.0000]], "species": ["Tm", "Bi", "Te"], "frac_coords": [[0.0000, 0.0000, 0.0000], [0.5000, 0.5000, 0.5000], [0.7500, 0.7500, 0.7500]], "total_magnetization_mub_per_atom": 0.002, "density_g_cm3": 8.48, "sg": "F-43m (216)", "dft_energy_ev_per_atom": -4.10, "crystal_system": "cubic"}

12.
{"formula": "ThUBi", "functional": "PBE", "state": "relaxed", "lattice_angstrom": [[0.0000, 3.6959, 3.6959], [3.6959, 0.0000, 3.6959], [3.6959, 3.6959, 0.0000]], "species": ["Th", "U", "Bi"], "frac_coords": [[0.0000, 0.0000, 0.0000], [0.7500, 0.7500, 0.7500], [0.5000, 0.5000, 0.5000]], "total_magnetization_mub_per_atom": 1.901, "density_g_cm3": 11.17, "sg": "F-43m (216)", "dft_energy_ev_per_atom": -6.78, "crystal_system": "cubic"}

13.
{"formula": "ThBiW", "functional": "PBE", "state": "relaxed", "lattice_angstrom": [[0.0000, 3.6171, 3.6171], [3.6171, 0.0000, 3.6171], [3.6171, 3.6171, 0.0000]], "species": ["Th", "Bi", "W"], "frac_coords": [[0.0000, 0.0000, 0.0000], [0.7500, 0.7500, 0.7500], [0.2500, 0.2500, 0.2500]], "total_magnetization_mub_per_atom": 0.652, "density_g_cm3": 10.96, "sg": "F-43m (216)", "dft_energy_ev_per_atom": -6.76, "crystal_system": "cubic", "e_above_lowest_polymorph_mev_per_atom": 810.4}

14.
{"formula": "ThBiW", "functional": "PBE", "state": "relaxed", "lattice_angstrom": [[0.0000, 3.4478, 3.4478], [3.4478, 0.0000, 3.4478], [3.4478, 3.4478, 0.0000]], "species": ["Th", "Bi", "W"], "frac_coords": [[0.0000, 0.0000, 0.0000], [0.5000, 0.5000, 0.5000], [0.2500, 0.2500, 0.2500]], "total_magnetization_mub_per_atom": 0.195, "density_g_cm3": 12.66, "sg": "F-43m (216)", "dft_energy_ev_per_atom": -7.57, "crystal_system": "cubic", "e_above_lowest_polymorph_mev_per_atom": 0.0}

15.
{"formula": "Y3ThBi4", "functional": "PBE", "state": "relaxed", "lattice_angstrom": [[4.4994, -6.3677, 0.0000], [4.4994, 6.3677, 0.0000], [0.0000, 0.0000, 4.5138]], "species": ["Y", "Y", "Y", "Th", "Bi", "Bi", "Bi", "Bi"], "frac_coords": [[0.0000, 0.0000, 0.0000], [0.0000, 0.5000, 0.5000], [0.5000, 0.0000, 0.5000], [0.5000, 0.5000, 0.0000], [0.2442, 0.2442, 0.5000], [0.2475, 0.7525, 0.0000], [0.7525, 0.2475, 0.0000], [0.7558, 0.7558, 0.5000]], "total_magnetization_mub_per_atom": 0.004, "density_g_cm3": 8.57, "sg": "Cmmm (65)", "dft_energy_ev_per_atom": -6.21, "crystal_system": "orthorhombic"}

16.
{"formula": "ThZrBi", "functional": "PBE", "state": "relaxed", "lattice_angstrom": [[0.0000, 3.6304, 3.6304], [3.6304, 0.0000, 3.6304], [3.6304, 3.6304, 0.0000]], "species": ["Th", "Zr", "Bi"], "frac_coords": [[0.0000, 0.0000, 0.0000], [0.5000, 0.5000, 0.5000], [0.2500, 0.2500, 0.2500]], "total_magnetization_mub_per_atom": 0.163, "density_g_cm3": 9.24, "sg": "F-43m (216)", "dft_energy_ev_per_atom": -6.50, "crystal_system": "cubic"}

17.
{"formula": "TmTlBi", "functional": "PBE", "state": "relaxed", "lattice_angstrom": [[0.0000, 3.6719, 3.6719], [3.6719, 0.0000, 3.6719], [3.6719, 3.6719, 0.0000]], "species": ["Tm", "Tl", "Bi"], "frac_coords": [[0.0000, 0.0000, 0.0000], [0.7500, 0.7500, 0.7500], [0.5000, 0.5000, 0.5000]], "total_magnetization_mub_per_atom": 0.000, "density_g_cm3": 9.77, "sg": "F-43m (216)", "dft_energy_ev_per_atom": -3.61, "crystal_system": "cubic", "e_above_lowest_polymorph_mev_per_atom": 176.5}

18.
{"formula": "TmTlBi", "functional": "PBE", "state": "relaxed", "lattice_angstrom": [[0.0000, 3.6688, 3.6688], [3.6688, 0.0000, 3.6688], [3.6688, 3.6688, 0.0000]], "species": ["Tm", "Tl", "Bi"], "frac_coords": [[0.0000, 0.0000, 0.0000], [0.2500, 0.2500, 0.2500], [0.7500, 0.7500, 0.7500]], "total_magnetization_mub_per_atom": 0.001, "density_g_cm3": 9.79, "sg": "F-43m (216)", "dft_energy_ev_per_atom": -3.79, "crystal_system": "cubic", "e_above_lowest_polymorph_mev_per_atom": 0.0}

19.
{"formula": "TlBi5W3", "functional": "PBE", "state": "relaxed", "lattice_angstrom": [[5.6730, 0.0000, 0.0000], [-2.8365, 4.9129, 0.0000], [0.0000, 0.0000, 8.7785]], "species": ["Tl", "Bi", "Bi", "Bi", "Bi", "Bi", "W", "W", "W"], "frac_coords": [[0.0000, 0.0000, 0.0000], [0.0000, 0.0000, 0.5000], [0.3333, 0.6667, 0.2135], [0.3333, 0.6667, 0.7865], [0.6667, 0.3333, 0.2135], [0.6667, 0.3333, 0.7865], [0.0000, 0.5000, 0.5000], [0.5000, 0.0000, 0.5000], [0.5000, 0.5000, 0.5000]], "total_magnetization_mub_per_atom": 0.001, "density_g_cm3": 12.22, "sg": "P6/mmm (191)", "dft_energy_ev_per_atom": -6.36, "crystal_system": "hexagonal"}

20.
{"formula": "TlZnBi", "functional": "PBE", "state": "relaxed", "lattice_angstrom": [[0.0000, 3.6450, 3.6450], [3.6450, 0.0000, 3.6450], [3.6450, 3.6450, 0.0000]], "species": ["Tl", "Zn", "Bi"], "frac_coords": [[0.0000, 0.0000, 0.0000], [0.5000, 0.5000, 0.5000], [0.2500, 0.2500, 0.2500]], "density_g_cm3": 8.21, "sg": "F-43m (216)", "dft_energy_ev_per_atom": -2.37, "crystal_system": "cubic"}

21.
{"formula": "Tl2ZnBi", "functional": "PBE", "state": "relaxed", "lattice_angstrom": [[0.0000, 3.8605, 3.8605], [3.8605, 0.0000, 3.8605], [3.8605, 3.8605, 0.0000]], "species": ["Tl", "Tl", "Zn", "Bi"], "frac_coords": [[0.0000, 0.0000, 0.0000], [0.2500, 0.2500, 0.2500], [0.7500, 0.7500, 0.7500], [0.5000, 0.5000, 0.5000]], "density_g_cm3": 9.86, "sg": "F-43m (216)", "dft_energy_ev_per_atom": -2.41, "crystal_system": "cubic"}

22.
{"formula": "ZrTlBi2", "functional": "PBE", "state": "relaxed", "lattice_angstrom": [[0.0000, 3.8108, 3.8108], [3.8108, 0.0000, 3.8108], [3.8108, 3.8108, 0.0000]], "species": ["Zr", "Tl", "Bi", "Bi"], "frac_coords": [[0.0000, 0.0000, 0.0000], [0.7500, 0.7500, 0.7500], [0.2500, 0.2500, 0.2500], [0.5000, 0.5000, 0.5000]], "total_magnetization_mub_per_atom": 0.052, "density_g_cm3": 10.71, "sg": "F-43m (216)", "dft_energy_ev_per_atom": -4.50, "crystal_system": "cubic"}

23.
{"formula": "ZrTlBi", "functional": "PBE", "state": "relaxed", "lattice_angstrom": [[0.0000, 3.5888, 3.5888], [3.5888, 0.0000, 3.5888], [3.5888, 3.5888, 0.0000]], "species": ["Zr", "Tl", "Bi"], "frac_coords": [[0.0000, 0.0000, 0.0000], [0.7500, 0.7500, 0.7500], [0.5000, 0.5000, 0.5000]], "total_magnetization_mub_per_atom": 0.347, "density_g_cm3": 9.06, "sg": "F-43m (216)", "dft_energy_ev_per_atom": -4.41, "crystal_system": "cubic"}

24.
{"formula": "Tm2Bi", "functional": "PBE", "state": "relaxed", "lattice_angstrom": [[0.0000, 6.8792, 6.8792], [6.8792, 0.0000, 6.8792], [6.8792, 6.8792, 0.0000]], "species": ["Tm", "Tm", "Tm", "Tm", "Bi", "Bi"], "frac_coords": [[0.0000, 0.0000, 0.0000], [0.0000, 0.0000, 0.5000], [0.0000, 0.5000, 0.0000], [0.5000, 0.0000, 0.0000], [0.1250, 0.1250, 0.1250], [0.8750, 0.8750, 0.8750]], "total_magnetization_mub_per_atom": 0.337, "density_g_cm3": 2.79, "sg": "Fd-3m (227)", "dft_energy_ev_per_atom": -3.10, "crystal_system": "cubic"}

25.
{"formula": "Tm2Bi", "functional": "PBE", "state": "relaxed", "lattice_angstrom": [[0.0000, 4.4535, 4.4535], [4.4535, 0.0000, 4.4535], [4.4535, 4.4535, 0.0000]], "species": ["Tm", "Tm", "Tm", "Tm", "Bi", "Bi"], "frac_coords": [[0.0000, 0.0000, 0.0000], [0.0000, 0.0000, 0.5000], [0.0000, 0.5000, 0.0000], [0.5000, 0.0000, 0.0000], [0.3750, 0.3750, 0.3750], [0.6250, 0.6250, 0.6250]], "total_magnetization_mub_per_atom": 0.001, "density_g_cm3": 10.28, "sg": "Fd-3m (227)", "dft_energy_ev_per_atom": -4.37, "crystal_system": "cubic"}

26.
{"formula": "TmBi2", "functional": "PBE", "state": "relaxed", "lattice_angstrom": [[0.0000, 4.5618, 4.5618], [4.5618, 0.0000, 4.5618], [4.5618, 4.5618, 0.0000]], "species": ["Tm", "Tm", "Bi", "Bi", "Bi", "Bi"], "frac_coords": [[0.1250, 0.1250, 0.1250], [0.8750, 0.8750, 0.8750], [0.0000, 0.5000, 0.5000], [0.5000, 0.0000, 0.5000], [0.5000, 0.5000, 0.0000], [0.5000, 0.5000, 0.5000]], "total_magnetization_mub_per_atom": 0.001, "density_g_cm3": 10.27, "sg": "Fd-3m (227)", "dft_energy_ev_per_atom": -4.15, "crystal_system": "cubic"}

27.
{"formula": "TmBi2", "functional": "PBE", "state": "relaxed", "lattice_angstrom": [[0.0000, 6.7494, 6.7494], [6.7494, 0.0000, 6.7494], [6.7494, 6.7494, 0.0000]], "species": ["Tm", "Tm", "Bi", "Bi", "Bi", "Bi"], "frac_coords": [[0.1250, 0.1250, 0.1250], [0.8750, 0.8750, 0.8750], [0.0000, 0.0000, 0.0000], [0.0000, 0.0000, 0.5000], [0.0000, 0.5000, 0.0000], [0.5000, 0.0000, 0.0000]], "total_magnetization_mub_per_atom": 0.007, "density_g_cm3": 3.17, "sg": "Fd-3m (227)", "dft_energy_ev_per_atom": -3.49, "crystal_system": "cubic"}

28.
{"formula": "Tm5Bi3", "functional": "PBE", "state": "relaxed", "lattice_angstrom": [[11.7987, 0.0000, 0.0000], [0.0000, 9.3798, 0.0000], [0.0000, 0.0000, 8.1691]], "species": ["Tm", "Tm", "Tm", "Tm", "Tm", "Tm", "Tm", "Tm", "Tm", "Tm", "Tm", "Tm", "Tm", "Tm", "Tm", "Tm", "Tm", "Tm", "Tm", "Tm", "Bi", "Bi", "Bi", "Bi", "Bi", "Bi", "Bi", "Bi", "Bi", "Bi", "Bi", "Bi"], "frac_coords": [[0.0054, 0.2500, 0.0196], [0.0636, 0.0639, 0.6889], [0.0636, 0.4361, 0.6889], [0.2105, 0.7500, 0.3389], [0.2285, 0.2500, 0.3261], [0.2715, 0.7500, 0.8261], [0.2895, 0.2500, 0.8389], [0.4364, 0.5639, 0.1889], [0.4364, 0.9361, 0.1889], [0.4946, 0.7500, 0.5196], [0.5054, 0.2500, 0.4804], [0.5636, 0.0639, 0.8111], [0.5636, 0.4361, 0.8111], [0.7105, 0.7500, 0.1611], [0.7285, 0.2500, 0.1739], [0.7715, 0.7500, 0.6739], [0.7895, 0.2500, 0.6611], [0.9364, 0.5639, 0.3111], [0.9364, 0.9361, 0.3111], [0.9946, 0.7500, 0.9804], [0.0287, 0.7500, 0.6032], [0.1756, 0.5081, 0.0626], [0.1756, 0.9919, 0.0626], [0.3244, 0.0081, 0.5626], [0.3244, 0.4919, 0.5626], [0.4713, 0.2500, 0.1032], [0.5287, 0.7500, 0.8968], [0.6756, 0.5081, 0.4374], [0.6756, 0.9919, 0.4374], [0.8244, 0.0081, 0.9374], [0.8244, 0.4919, 0.9374], [0.9713, 0.2500, 0.3968]], "total_magnetization_mub_per_atom": 0.001, "density_g_cm3": 10.81, "sg": "Pnma (62)", "dft_energy_ev_per_atom": -4.94, "crystal_system": "orthorhombic", "e_above_lowest_polymorph_mev_per_atom": 0.0}